# AlNiN2O

Crystalline AlNiN2O at its relaxed geometry (PBE+U, Alexandria).

Its uncorrected energy is -5.05 eV per atom.

The space group is P4/mmm (No. 123) and the conventional cell measures 3.765, 3.765 and 3.680 Å, with angles of 90.00, 90.00 and 90.00 degrees. Symmetry generates all atoms from Al at (0.000, 0.000, 0.000), Ni at (0.500, 0.500, 0.500), N at (0.000, 0.500, 0.000) and O at (0.000, 0.000, 0.500).